Material: Sr2HfSO
Method: DFT, PBE
State: relaxed

Output
formation energy from raw total energies: -776 meV/atom
total magnetization: 0.00 μB/atom
raw total energy: -26.28 eV per cell

Cell lengths 6.0908, 6.0908, 4.0018 Å; angles 90.00, 90.00, 90.00 degrees
Space group P4/mmm (No. 123)
One atom of each set of equivalent atoms:
Sr 0.0000 0.5000 0.0000
Hf 0.0000 0.0000 0.0000
S 0.5000 0.5000 0.5000
O 0.0000 0.0000 0.5000



Material: HfTa2SO
Method: DFT, PBE
State: relaxed

Output
formation energy from raw total energies: 344 meV/atom
total magnetization: 0.00 μB/atom
raw total energy: -41.02 eV per cell

Cell lengths 4.8186, 4.8186, 3.7073 Å; angles 90.00, 90.00, 90.00 degrees
Space group P4/mmm (No. 123)
One atom of each set of equivalent atoms:
Hf 0.0000 0.0000 0.0000
Ta 0.0000 0.5000 0.5000
S 0.5000 0.5000 0.5000
O 0.5000 0.5000 0.0000



Material: Hf2SbO
Method: DFT, PBE
State: relaxed

Output
formation energy from raw total energies: -1069 meV/atom
total magnetization: 0.00 μB/atom
raw total energy: -133.05 eV per cell

Cell lengths 5.5991, 5.5991, 11.1756 Å; angles 90.00, 90.00, 90.00 degrees
Space group I-42d (No. 122)
One atom of each set of equivalent atoms:
Hf 0.1304 0.2500 0.1250
Sb 0.0000 0.0000 0.5000
O 0.0000 0.0000 0.0000



Material: HfSbO2
Method: DFT, PBE
State: relaxed

Output
formation energy from raw total energies: -1069 meV/atom
total magnetization: 0.00 μB/atom
raw total energy: -84.80 eV per cell

Cell lengths 3.2379, 3.2379, 21.6998 Å; angles 90.00, 90.00, 120.00 degrees
Space group R-3m (No. 166, hexagonal axes)
One atom of each set of equivalent atoms:
Hf 0.0000 0.0000 0.0000
Sb 0.0000 0.0000 0.5000
O 0.0000 0.0000 0.0921



Material: HfSbO2
Method: DFT, PBE
State: relaxed

Output
formation energy from raw total energies: -2007 meV/atom
total magnetization: 0.00 μB/atom
raw total energy: -128.09 eV per cell

Cell lengths 6.3093, 6.3093, 8.9365 Å; angles 90.00, 90.00, 90.00 degrees
Space group I-42d (No. 122)
One atom of each set of equivalent atoms:
Hf 0.0000 0.0000 0.0000
Sb 0.0000 0.0000 0.5000
O 0.0185 0.2500 0.1250



Material: HfSb3O
Method: DFT, PBE
State: relaxed

Output
formation energy from raw total energies: 704 meV/atom
total magnetization: 0.00 μB/atom
raw total energy: -23.76 eV per cell

Cell lengths 5.4174, 5.4174, 5.4174 Å; angles 90.00, 90.00, 90.00 degrees
Space group Pm-3m (No. 221)
One atom of each set of equivalent atoms:
Hf 0.0000 0.0000 0.0000
Sb 0.0000 0.0000 0.5000
O 0.5000 0.5000 0.5000



Material: HfSbO
Method: DFT, PBE
State: relaxed

Output
formation energy from raw total energies: -1706 meV/atom
total magnetization: 0.00 μB/atom
raw total energy: -48.30 eV per cell

Cell lengths 3.3429, 6.4098, 7.5892 Å; angles 73.17, 77.61, 89.94 degrees
Space group P-1 (No. 2)
One atom of each set of equivalent atoms:
Hf 0.2441 0.2160 0.0110
Sb 0.1114 0.4722 0.2886
O 0.3083 0.9536 0.8805



Material: Hf3SbO
Method: DFT, PBE
State: relaxed

Output
formation energy from raw total energies: -965 meV/atom
total magnetization: 0.00 μB/atom
raw total energy: -43.76 eV per cell

Cell lengths 4.4649, 4.4649, 4.4649 Å; angles 90.00, 90.00, 90.00 degrees
Space group Pm-3m (No. 221)
One atom of each set of equivalent atoms:
Hf 0.0000 0.0000 0.5000
Sb 0.5000 0.5000 0.5000
O 0.0000 0.0000 0.0000